No. 1
Below is a relaxed ZnTcRh2 crystal, with properties calculated at the GGA-PBE level.

Values from the calculation:
magnetization	0.7	μB/f.u.
uncorrected energy	-0.23760	Ha/atom
Fermi-level density of states	1.7623	states/eV per atom
crystal system	cubic

Lattice parameters (Å, degrees): 4.328 4.328 4.328 60.00 60.00 60.00
Fractional coordinates of all 4 atoms:
Rh: 0.000 0.000 0.000
Rh: 0.250 0.250 0.250
Tc: 0.500 0.500 0.500
Zn: 0.750 0.750 0.750


No. 2
Below is a relaxed NdDy5Er7 crystal, with properties calculated at the GGA-PBE level.

Values from the calculation:
magnetization	0.0	μB/f.u.
Fermi-level density of states	1.7927	states/eV per atom
excess energy over the best structure of this formula in the dataset	0.0	meV per atom
crystal system	orthorhombic

Lattice parameters (Å, degrees): 6.659 8.634 8.634 79.32 67.32 67.32
Fractional coordinates of all 13 atoms:
Nd: 0.969 0.031 0.031
Dy: 0.535 0.004 0.461
Dy: 0.001 0.004 0.461
Dy: 0.535 0.461 0.004
Dy: 0.001 0.461 0.004
Dy: 0.770 0.730 0.730
Er: 0.577 0.423 0.423
Er: 0.272 0.728 0.728
Er: 0.019 0.312 0.650
Er: 0.019 0.650 0.312
Er: 0.267 0.233 0.233
Er: 0.518 0.812 0.152
Er: 0.518 0.152 0.812


No. 3
Below is a relaxed Tb3NdDy6 crystal, with properties calculated at the GGA-PBE level.

Values from the calculation:
magnetization	0.0	μB/f.u.
Fermi-level density of states	2.1274	states/eV per atom
excess energy over the best structure of this formula in the dataset	128.2	meV per atom
crystal system	trigonal

Lattice parameters (Å, degrees): 9.843 9.843 6.886 44.38 44.38 60.00
Fractional coordinates of all 10 atoms:
Tb: 0.400 0.400 0.801
Tb: 0.647 0.647 0.059
Tb: 0.152 0.152 0.544
Nd: 0.900 0.900 0.300
Dy: 0.900 0.570 0.299
Dy: 0.230 0.900 0.299
Dy: 0.570 0.230 0.299
Dy: 0.072 0.401 0.799
Dy: 0.729 0.072 0.799
Dy: 0.401 0.729 0.799


No. 4
Below is a relaxed U2GeIr crystal, with properties calculated at the GGA-PBE level.

Values from the calculation:
magnetization	2.9	μB/f.u.
uncorrected energy	-0.34200	Ha/atom
Fermi-level density of states	2.1209	states/eV per atom
crystal system	tetragonal

Lattice parameters (Å, degrees): 4.381 4.134 4.134 90.00 90.00 90.00
Fractional coordinates of all 4 atoms:
Ge: 0.500 0.500 0.500
Ir: 0.500 0.000 0.000
U: 0.000 0.000 0.500
U: 0.000 0.500 0.000


No. 5
Below is a relaxed Fe5Mo4N crystal, with properties calculated at the GGA-PBE level.

Values from the calculation:
magnetization	0.2	μB/f.u.
uncorrected energy	-0.34027	Ha/atom
Fermi-level density of states	0.8119	states/eV per atom
crystal system	orthorhombic

Lattice parameters (Å, degrees): 2.734 7.006 7.006 72.60 78.75 78.75
Fractional coordinates of all 10 atoms:
Fe: 0.559 0.535 0.848
Fe: 0.941 0.152 0.465
Fe: 0.750 0.500 0.500
Fe: 0.559 0.848 0.535
Fe: 0.941 0.465 0.152
Mo: 0.250 0.245 0.755
Mo: 0.596 0.154 0.154
Mo: 0.904 0.846 0.846
Mo: 0.250 0.755 0.245
N: 0.250 0.000 0.000


No. 6
Below is a relaxed Sc2CuBi2 crystal, with properties calculated at the GGA-PBE level.

Values from the calculation:
magnetization	0.0	μB/f.u.
Fermi-level density of states	1.0859	states/eV per atom
excess energy over the best structure of this formula in the dataset	8.0	meV per atom
crystal system	tetragonal

Lattice parameters (Å, degrees): 7.692 7.692 4.099 90.00 90.00 90.00
Fractional coordinates of all 10 atoms:
Sc: 0.151 0.651 0.500
Sc: 0.651 0.849 0.500
Sc: 0.849 0.349 0.500
Sc: 0.349 0.151 0.500
Bi: 0.341 0.841 0.000
Bi: 0.841 0.659 0.000
Bi: 0.659 0.159 0.000
Bi: 0.159 0.341 0.000
Cu: 0.000 0.000 0.000
Cu: 0.500 0.500 0.000